Computed, not measured: a relaxed MnCd2In crystal at the PBE-GGA level of DFT.

Properties
DOS(E_F)	0.564	states/eV per atom
theoretical density	7.993	g/cm3
crystal system	tetragonal
E_form	0.173	eV/atom

```
data_MnCd2In
_space_group_name_H-M_alt 'P 4 m m'
_space_group_IT_number 99
_space_group_name_Hall 'P 4 -2'
_cell_length_a 3.089
_cell_length_b 3.089
_cell_length_c 8.588
_cell_angle_alpha 90.00
_cell_angle_beta 90.00
_cell_angle_gamma 90.00
loop_
_atom_site_label
_atom_site_fract_x
_atom_site_fract_y
_atom_site_fract_z
Mn1 0.000 0.000 0.000
Cd1 0.000 0.000 0.492
Cd2 0.500 0.500 0.223
In1 0.500 0.500 0.779
```